Compound: BaSb4O7
Source: Alexandria
Functional: GGA-PBE
Structure: optimized geometry

Cell: 7.630 7.630 12.208 Å, 90.00 90.00 120.00°
Fractional positions:
Ba (0.333, 0.667, 0.000)
Ba (0.667, 0.333, 0.500)
Sb (0.000, 0.000, 0.413)
Sb (0.000, 0.000, 0.913)
Sb (0.173, 0.345, 0.621)
Sb (0.173, 0.827, 0.621)
Sb (0.345, 0.173, 0.121)
Sb (0.655, 0.827, 0.621)
Sb (0.827, 0.173, 0.121)
Sb (0.827, 0.655, 0.121)
O (0.000, 0.000, 0.096)
O (0.000, 0.000, 0.596)
O (0.025, 0.513, 0.597)
O (0.148, 0.297, 0.459)
O (0.148, 0.852, 0.459)
O (0.297, 0.148, 0.959)
O (0.487, 0.513, 0.597)
O (0.487, 0.975, 0.597)
O (0.513, 0.025, 0.097)
O (0.513, 0.487, 0.097)
O (0.703, 0.852, 0.459)
O (0.852, 0.148, 0.959)
O (0.852, 0.703, 0.959)
O (0.975, 0.487, 0.097)

Values from the calculation:
Crystal system   hexagonal



Compound: Ba12Sb3O5
Source: Alexandria
Functional: GGA-PBE
Structure: optimized geometry

Cell: 15.537 15.537 15.537 Å, 109.47 109.47 109.47°
Fractional positions:
Ba (0.014, 0.199, 0.114)
Ba (0.014, 0.315, 0.899)
Ba (0.085, 0.699, 0.685)
Ba (0.085, 0.886, 0.399)
Ba (0.101, 0.614, 0.415)
Ba (0.101, 0.986, 0.685)
Ba (0.114, 0.014, 0.199)
Ba (0.114, 0.601, 0.915)
Ba (0.185, 0.199, 0.585)
Ba (0.185, 0.486, 0.601)
Ba (0.199, 0.114, 0.014)
Ba (0.199, 0.585, 0.185)
Ba (0.301, 0.315, 0.915)
Ba (0.301, 0.486, 0.386)
Ba (0.315, 0.899, 0.014)
Ba (0.315, 0.915, 0.301)
Ba (0.386, 0.301, 0.486)
Ba (0.386, 0.585, 0.899)
Ba (0.399, 0.085, 0.886)
Ba (0.399, 0.815, 0.514)
Ba (0.415, 0.101, 0.614)
Ba (0.415, 0.815, 0.801)
Ba (0.486, 0.386, 0.301)
Ba (0.486, 0.601, 0.185)
Ba (0.514, 0.399, 0.815)
Ba (0.514, 0.614, 0.699)
Ba (0.585, 0.185, 0.199)
Ba (0.585, 0.899, 0.386)
Ba (0.601, 0.185, 0.486)
Ba (0.601, 0.915, 0.114)
Ba (0.614, 0.415, 0.101)
Ba (0.614, 0.699, 0.514)
Ba (0.685, 0.085, 0.699)
Ba (0.685, 0.101, 0.986)
Ba (0.699, 0.514, 0.614)
Ba (0.699, 0.685, 0.085)
Ba (0.801, 0.415, 0.815)
Ba (0.801, 0.886, 0.986)
Ba (0.815, 0.514, 0.399)
Ba (0.815, 0.801, 0.415)
Ba (0.886, 0.399, 0.085)
Ba (0.886, 0.986, 0.801)
Ba (0.899, 0.014, 0.315)
Ba (0.899, 0.386, 0.585)
Ba (0.915, 0.114, 0.601)
Ba (0.915, 0.301, 0.315)
Ba (0.986, 0.685, 0.101)
Ba (0.986, 0.801, 0.886)
Sb (0.125, 0.250, 0.375)
Sb (0.125, 0.375, 0.750)
Sb (0.250, 0.375, 0.125)
Sb (0.250, 0.875, 0.625)
Sb (0.375, 0.125, 0.250)
Sb (0.375, 0.750, 0.125)
Sb (0.625, 0.250, 0.875)
Sb (0.625, 0.875, 0.750)
Sb (0.750, 0.125, 0.375)
Sb (0.750, 0.625, 0.875)
Sb (0.875, 0.625, 0.250)
Sb (0.875, 0.750, 0.625)
O (0.000, 0.000, 0.000)
O (0.000, 0.000, 0.500)
O (0.000, 0.500, 0.000)
O (0.000, 0.500, 0.500)
O (0.125, 0.750, 0.875)
O (0.125, 0.875, 0.250)
O (0.250, 0.125, 0.875)
O (0.250, 0.625, 0.375)
O (0.375, 0.250, 0.625)
O (0.375, 0.625, 0.750)
O (0.500, 0.000, 0.000)
O (0.500, 0.000, 0.500)
O (0.500, 0.500, 0.000)
O (0.500, 0.500, 0.500)
O (0.625, 0.375, 0.250)
O (0.625, 0.750, 0.375)
O (0.750, 0.375, 0.625)
O (0.750, 0.875, 0.125)
O (0.875, 0.125, 0.750)
O (0.875, 0.250, 0.125)

Values from the calculation:
Crystal system   cubic



Compound: Ba2SbO5
Source: Alexandria
Functional: GGA-PBE
Structure: optimized geometry

Cell: 7.634 5.887 11.747 Å, 90.00 90.00 90.00°
Fractional positions:
Ba (0.015, 0.250, 0.220)
Ba (0.161, 0.750, 0.420)
Ba (0.339, 0.250, 0.920)
Ba (0.485, 0.750, 0.720)
Ba (0.515, 0.250, 0.280)
Ba (0.661, 0.750, 0.080)
Ba (0.839, 0.250, 0.580)
Ba (0.985, 0.750, 0.780)
Sb (0.172, 0.750, 0.063)
Sb (0.328, 0.250, 0.563)
Sb (0.672, 0.750, 0.437)
Sb (0.828, 0.250, 0.937)
O (0.000, 0.000, 0.000)
O (0.000, 0.500, 0.000)
O (0.020, 0.750, 0.197)
O (0.174, 0.002, 0.618)
O (0.174, 0.498, 0.618)
O (0.219, 0.250, 0.409)
O (0.281, 0.750, 0.909)
O (0.326, 0.502, 0.118)
O (0.326, 0.998, 0.118)
O (0.480, 0.250, 0.697)
O (0.500, 0.000, 0.500)
O (0.500, 0.500, 0.500)
O (0.520, 0.750, 0.303)
O (0.674, 0.002, 0.882)
O (0.674, 0.498, 0.882)
O (0.719, 0.250, 0.091)
O (0.781, 0.750, 0.591)
O (0.826, 0.502, 0.382)
O (0.826, 0.998, 0.382)
O (0.980, 0.250, 0.803)

Values from the calculation:
Crystal system   orthorhombic



Compound: Ba6Sb3O2
Source: Alexandria
Functional: GGA-PBE
Structure: optimized geometry

Cell: 14.605 14.605 14.605 Å, 158.84 158.84 30.10°
Fractional positions:
Ba (0.085, 0.585, 0.500)
Ba (0.196, 0.196, 0.000)
Ba (0.415, 0.915, 0.500)
Ba (0.585, 0.085, 0.500)
Ba (0.804, 0.804, 0.000)
Ba (0.915, 0.415, 0.500)
Sb (0.326, 0.326, 0.000)
Sb (0.500, 0.500, 0.000)
Sb (0.674, 0.674, 0.000)
O (0.105, 0.105, 0.000)
O (0.895, 0.895, 0.000)

Values from the calculation:
Crystal system   tetragonal



no.,total energy (eV/atom),DOS at the Fermi energy (states/eV per cell)
1,-5.8135,0.00
2,-4.5568,42.80
3,-6.1263,18.55
4,-4.6258,8.46